VASP calculation (PBE-GGA) on an optimized crystal structure of KTl2Ge.

a b c (Å): 5.4899 5.4899 5.4899
angles (deg): 60.00 60.00 60.00
With the nearest neighbours (Å) after each atom.
Fractional coordinates of all 4 atoms:
Tl 0.2500 0.2500 0.2500  4 Ge 3.36, 4 K 3.36
Tl 0.7500 0.7500 0.7500  4 Ge 3.36, 4 K 3.36
K 0.0000 0.0000 0.0000  8 Tl 3.36
Ge 0.5000 0.5000 0.5000  8 Tl 3.36

Properties
offset from the most stable computed form	72	meV/atom
total magnetization	0.000	μB/f.u.
D(E_F)	2.60	states/eV/f.u.
density	7.388	g cm⁻³
ΔH_f (0 K)	69.2	meV/atom
SG	Fm-3m


VASP calculation (PBE-GGA) on an optimized crystal structure of KTlGe.

a b c (Å): 4.0238 9.3848 5.6032
angles (deg): 107.45 90.06 103.78
With the nearest neighbours (Å) after each atom.
Fractional coordinates of all 6 atoms:
Ge 0.3301 0.1396 0.1126  2 Ge 2.46-2.47
Tl 0.1611 0.6411 0.3645  1 Ge 2.93, 2 Tl 3.20
Tl 0.0914 0.8025 0.9457  1 Ge 2.93, 2 Tl 3.20
K 0.4909 0.4304 0.7596  5 Tl 3.59-4.02, 6 Ge 3.61-3.77, 2 K 4.02
Ge 0.9218 0.3041 0.1967  2 Ge 2.46-2.47
K 0.7614 0.0131 0.5501  4 Tl 3.59-4.01, 6 Ge 3.61-3.77

Properties
total magnetization	0.000	μB/f.u.
D(E_F)	1.30	states/eV/f.u.
density	5.372	g cm⁻³
ΔH_f (0 K)	-102.6	meV/atom
SG	P-1


VASP calculation (PBE-GGA) on an optimized crystal structure of KTl2Ge.

a b c (Å): 4.7048 4.7048 7.5297
angles (deg): 71.79 71.79 60.00
With the nearest neighbours (Å) after each atom.
Fractional coordinates of all 4 atoms:
Tl 0.2758 0.2758 0.1726  3 Ge 2.97
Tl 0.7242 0.7242 0.8274  3 Ge 2.97
K 0.5000 0.5000 0.5000  6 Tl 3.56
Ge 0.0000 0.0000 0.0000  6 Tl 2.97

Properties
offset from the most stable computed form	0	meV/atom
total magnetization	0.000	μB/f.u.
D(E_F)	2.23	states/eV/f.u.
density	6.420	g cm⁻³
ΔH_f (0 K)	-2.7	meV/atom
SG	R-3m


VASP calculation (PBE-GGA) on an optimized crystal structure of K4Tl4Ge.

a b c (Å): 6.6941 9.2979 6.6941
angles (deg): 68.90 90.00 111.10
With the nearest neighbours (Å) after each atom.
Fractional coordinates of all 9 atoms:
K 0.0689 0.6694 0.3995  1 Ge 3.45, 5 Tl 3.64-3.85
Tl 0.7788 0.1240 0.6548  1 Ge 2.86
K 0.9311 0.3306 0.0689  1 Ge 3.45, 5 Tl 3.64-3.85
Tl 0.2212 0.8760 0.7788  1 Ge 2.86
Tl 0.6548 0.8760 0.3452  1 Ge 2.86
K 0.3995 0.3306 0.6005  1 Ge 3.45, 5 Tl 3.64-3.85
Ge 0.0000 0.0000 0.0000  4 Tl 2.86
Tl 0.3452 0.1240 0.2212  1 Ge 2.86
K 0.6005 0.6694 0.9311  1 Ge 3.45, 5 Tl 3.64-3.85

Properties
total magnetization	0.000	μB/f.u.
D(E_F)	3.13	states/eV/f.u.
density	4.846	g cm⁻³
ΔH_f (0 K)	-28.8	meV/atom
SG	I-42m


Question: Which value of ΔH_f (0 K) does entry 1 give?
Answer: 69.2 meV/atom


Question: The highest D(E_F) belongs to which entry?
Answer: K4Tl4Ge